Here is Nd3AsP2Rh9 after structural relaxation from the Alexandria database. Energies are from PBE.

## Properties
The value obtained for the energy of formation from the pure elements is -0.6725 eV/atom. As for the size of the total moment: 0.000 μB/atom. The total energy is -7.068 eV/atom.

abc: 6.1474 6.1474 8.6415
angles: 90.00 90.00 120.00
Space group P-3m1 (No. 164)
One atom of each set of equivalent atoms:
Nd 0.0000 0.0000 0.0000 x1
Nd 0.3333 0.6667 0.6703 x2
As 0.0000 0.0000 0.5000 x1
P 0.3333 0.6667 0.1669 x2
Rh 0.0000 0.5000 0.0000 x3
Rh 0.1521 0.3041 0.2886 x6